[1]
First-principles (PBE-GGA) data for Ac2In3SnHg6 after structural relaxation, as listed in Alexandria via LeMat-Bulk.

Unit cell a=4.8949 b=4.8949 c=17.9060 alpha=90.00 beta=90.00 gamma=90.00
Positions (direct):
Hg 0.0000 0.5000 0.4035
Hg 0.0000 0.0000 0.1536
Hg 0.5000 0.0000 0.4035
Hg 0.0000 0.5000 0.5965
Hg 0.0000 0.0000 0.8464
Hg 0.5000 0.0000 0.5965
In 0.0000 0.0000 0.0000
In 0.0000 0.0000 0.6909
In 0.0000 0.0000 0.3091
Sn 0.5000 0.5000 0.5000
Ac 0.5000 0.5000 0.2647
Ac 0.5000 0.5000 0.7353

Summary:
M_tot = 0.000 μB/atom
total energy = -22.71 eV for the cell shown

***

[2]
First-principles (PBE-GGA) data for MgIn2MoN4 after structural relaxation, as listed in Alexandria via LeMat-Bulk.

Unit cell a=4.8343 b=4.8343 c=6.2364 alpha=112.78 beta=112.78 gamma=90.02
Positions (direct):
N 0.3805 0.8358 0.2159
N 0.6195 0.6195 0.7841
N 0.8358 0.3805 0.2159
N 0.1644 0.1644 0.7842
In 0.7502 0.2500 0.5001
In 0.2500 0.7502 0.5001
Mo 0.5000 0.5000 0.0002
Mg 0.0000 0.0000 0.0000

Summary:
energy relative to the elements, uncorrected = -1.00 eV/f.u.
M_tot = 0.000 μB/atom
total energy = -52.20 eV for the cell shown

***

[3]
First-principles (PBE-GGA) data for Rb5Sn after structural relaxation, as listed in Alexandria via LeMat-Bulk.

Unit cell a=6.5723 b=6.4259 c=9.4632 alpha=109.85 beta=90.00 gamma=90.00
Positions (direct):
Rb 0.5000 0.5000 0.0000
Rb 0.5000 0.1390 0.2780
Rb 0.5000 0.8610 0.7220
Rb 0.0000 0.3624 0.7248
Rb 0.0000 0.6376 0.2752
Sn 0.0000 0.0000 0.0000

Summary:
M_tot = 0.000 μB/atom
total energy = -8.66 eV for the cell shown

***

[4]
First-principles (PBE-GGA) data for KGa2Cu2 after structural relaxation, as listed in Alexandria via LeMat-Bulk.

Unit cell a=8.1919 b=8.1919 c=2.6435 alpha=90.00 beta=90.00 gamma=90.00
Positions (direct):
Cu 0.6546 0.8454 0.5000
Cu 0.3454 0.1546 0.5000
Cu 0.1546 0.6546 0.5000
Cu 0.8454 0.3454 0.5000
Ga 0.1317 0.3683 0.0000
Ga 0.3683 0.8683 0.0000
Ga 0.6317 0.1317 0.0000
Ga 0.8683 0.6317 0.0000
K 0.0000 0.0000 0.0000
K 0.5000 0.5000 0.0000

Summary:
M_tot = 0.000 μB/atom
energy relative to the lowest polymorph listed for this composition = 69.1 meV per atom
total energy = -29.85 eV for the cell shown

***

[5]
First-principles (PBE-GGA) data for NaLi4Ag4 after structural relaxation, as listed in Alexandria via LeMat-Bulk.

Unit cell a=4.3557 b=6.4597 c=6.4597 alpha=83.47 beta=70.30 gamma=70.30
Positions (direct):
Li 0.6736 0.3264 0.3264
Li 0.0000 0.6736 0.3264
Li 0.0000 0.3264 0.6736
Li 0.3264 0.6736 0.6736
Ag 0.3266 0.3468 0.9999
Ag 0.3266 0.0001 0.3468
Ag 0.6734 0.6532 0.0001
Ag 0.6734 0.9999 0.6532
Na 0.0000 0.0000 0.0000

Summary:
M_tot = 0.000 μB/atom
energy relative to the lowest polymorph listed for this composition = 0.0 meV per atom
total energy = -21.48 eV for the cell shown

***

[6]
First-principles (PBE-GGA) data for Cs3MnTl3I8 after structural relaxation, as listed in Alexandria via LeMat-Bulk.

Unit cell a=10.1401 b=10.1402 c=10.5993 alpha=118.58 beta=90.00 gamma=120.00
Positions (direct):
I 0.7970 0.0134 0.3104
I 0.2031 0.4062 0.6896
I 0.7416 0.4832 0.7249
I 0.7969 0.5938 0.3104
I 0.2030 0.9866 0.6896
I 0.2164 0.0134 0.3104
I 0.2584 0.5168 0.2751
I 0.7836 0.9866 0.6896
Tl 0.0000 0.5000 0.5000
Tl 0.5000 0.5000 0.5000
Tl 0.5000 0.0000 0.5000
Cs 0.0000 0.0000 0.0000
Cs 0.5000 0.5000 0.0000
Cs 0.0000 0.5000 0.0000
Mn 0.0000 0.0000 0.5000

Summary:
energy relative to the elements, uncorrected = -14.26 eV/f.u.
M_tot = 0.333 μB/atom
total energy = -45.49 eV for the cell shown

***

[7]
First-principles (PBE-GGA) data for Tb3ScZn8 after structural relaxation, as listed in Alexandria via LeMat-Bulk.

Unit cell a=5.4275 b=5.4275 c=9.3740 alpha=73.17 beta=73.17 gamma=60.00
Positions (direct):
Zn 0.1876 0.1876 0.4371
Zn 0.9376 0.9376 0.6836
Zn 0.9355 0.4367 0.1911
Zn 0.4367 0.4367 0.1911
Zn 0.6876 0.6876 0.9373
Zn 0.9376 0.4412 0.6836
Zn 0.4412 0.9376 0.6836
Zn 0.4367 0.9355 0.1911
Tb 0.9982 0.9982 0.0055
Tb 0.3760 0.3760 0.8721
Tb 0.5011 0.5011 0.4968
Sc 0.8743 0.8743 0.3772

Summary:
M_tot = 0.000 μB/atom
total energy = -34.36 eV for the cell shown

***

[8]
First-principles (PBE-GGA) data for Sm2DyC2 after structural relaxation, as listed in Alexandria via LeMat-Bulk.

Unit cell a=5.2755 b=6.4205 c=7.4150 alpha=108.70 beta=90.00 gamma=114.26
Positions (direct):
Dy 0.3450 0.6900 0.9043
Dy 0.6550 0.3100 0.0957
C 0.5015 0.0030 0.2362
C 0.8331 0.6662 0.4080
C 0.4985 0.9970 0.7638
C 0.1669 0.3338 0.5920
Sm 0.0070 0.0141 0.7335
Sm 0.6647 0.3293 0.5732
Sm 0.3353 0.6707 0.4268
Sm 0.9930 0.9859 0.2665

Summary:
M_tot = 0.105 μB/atom
total energy = -65.90 eV for the cell shown

***

[9]
First-principles (PBE-GGA) data for Pm4BCCl2 after structural relaxation, as listed in Alexandria via LeMat-Bulk.

Unit cell a=3.8528 b=6.6861 c=7.3438 alpha=107.79 beta=90.00 gamma=90.00
Positions (direct):
C 0.0000 0.0000 0.0000
Cl 0.0000 0.5000 0.5000
Cl 0.5000 0.0000 0.5000
Pm 0.5000 0.2267 0.1947
Pm 0.5000 0.7733 0.8053
Pm 0.0000 0.2605 0.7994
Pm 0.0000 0.7395 0.2006
B 0.5000 0.5000 0.0000

Summary:
energy relative to the elements, uncorrected = -7.63 eV/f.u.
M_tot = 0.000 μB/atom
total energy = -46.23 eV for the cell shown

***

[10]
First-principles (PBE-GGA) data for Y2IrBr after structural relaxation, as listed in Alexandria via LeMat-Bulk.

Unit cell a=10.1918 b=10.1918 c=10.1918 alpha=20.34 beta=20.34 gamma=20.34
Positions (direct):
Ir 0.7387 0.7387 0.7387
Y 0.0136 0.0136 0.0136
Y 0.2406 0.2406 0.2406
Br 0.5072 0.5072 0.5072

Summary:
energy relative to the elements, uncorrected = -1.05 eV/f.u.
M_tot = 0.214 μB/atom
energy relative to the lowest polymorph listed for this composition = 823.7 meV per atom
total energy = -24.51 eV for the cell shown